Model P:
Computed, not measured: crystalline Rb2In3Pb5 at its relaxed geometry at the PBE level of DFT.

```
Rb2In3Pb5
1.0
-4.757 -1.176 5.695
-6.080 -8.482 -1.875
3.793 -7.381 6.599
In Pb Rb
6 10 4
Direct
0.878 0.754 0.490
0.250 0.000 0.000
0.622 0.510 0.246
0.122 0.246 0.510
0.750 0.000 0.000
0.378 0.490 0.754
0.250 0.500 0.500
0.003 0.747 0.747
0.382 0.250 0.985
0.882 0.985 0.250
0.997 0.253 0.253
0.618 0.750 0.015
0.750 0.500 0.500
0.118 0.015 0.750
0.503 0.747 0.747
0.497 0.253 0.253
0.629 0.120 0.622
0.371 0.880 0.378
0.129 0.622 0.120
0.871 0.378 0.880
```

Output
Symmetry: No. 72

Model Q:
Computed, not measured: crystalline Rb2In3Pb5 at its relaxed geometry at the PBE level of DFT.

```
Rb2In3Pb5
1.0
5.224 0.000 0.000
0.000 5.224 0.000
0.000 0.000 13.467
In Rb Pb
3 2 5
Direct
0.000 0.500 0.374
0.500 0.000 0.626
0.000 0.000 0.500
0.500 0.000 0.256
0.000 0.500 0.744
0.500 0.500 0.500
0.500 0.000 0.859
0.000 0.000 0.000
0.000 0.500 0.141
0.500 0.500 0.000
```

Output
Symmetry: No. 115

Stability check: which of them is most stable? model P.